A plane-wave DFT calculation with PBE-GGA was carried out for a relaxed CsSnAuS3 crystal.

```
CsSnAuS3
1.0
7.171 -3.858 0.000
7.171 3.858 0.000
-3.369 0.000 7.350
Cs Sn Au S
2 2 2 6
Cartesian
1.552 0.000 1.835 Cs
9.422 0.000 5.515 Cs
5.771 0.000 0.918 Sn
5.203 0.000 6.431 Sn
5.487 2.093 3.675 Au
5.487 -2.093 3.675 Au
4.689 2.069 1.497 S
6.285 2.069 5.853 S
2.813 0.000 5.812 S
8.161 0.000 1.537 S
4.689 -2.069 1.497 S
6.285 -2.069 5.853 S
```

Calculated values
* size of the total moment: 0.00 μB/f.u.
* space-group type: No. 12
* D(E_F): 0.0000 states/eV/atom
* energy relative to the elements, uncorrected: -3.821 eV per formula unit


A plane-wave DFT calculation with PBE-GGA was carried out for a relaxed Cs2TaAuS4 crystal.

```
Cs2TaAuS4
1.0
0.000 7.284 12.477
2.944 0.000 12.477
2.944 7.284 0.000
Cs Ta Au S
4 2 2 8
Cartesian
2.208 5.463 1.268 Cs
3.680 9.105 7.507 Cs
2.208 5.463 17.448 Cs
3.680 9.105 23.686 Cs
2.208 5.463 9.358 Ta
3.680 9.105 15.597 Ta
0.736 1.821 3.119 Au
5.152 12.747 21.835 Au
3.493 4.082 8.020 S
3.493 6.845 10.696 S
4.965 7.724 16.934 S
4.965 10.487 14.259 S
0.923 4.082 10.696 S
0.923 6.845 8.020 S
2.395 7.724 14.259 S
2.395 10.487 16.934 S
```

Calculated values
* size of the total moment: 0.00 μB/f.u.
* space-group type: No. 70
* D(E_F): 0.0000 states/eV/atom
* energy relative to the elements, uncorrected: -8.337 eV per formula unit


A plane-wave DFT calculation with PBE-GGA was carried out for a relaxed Cs2TeAuS crystal.

```
Cs2TeAuS
1.0
7.032 0.000 0.000
0.000 7.032 0.000
0.000 0.000 4.502
Cs Te Au S
2 1 1 1
Cartesian
0.000 3.516 0.000 Cs
3.516 0.000 0.000 Cs
0.000 0.000 2.251 Te
3.516 3.516 2.251 Au
3.516 3.516 0.000 S
```

Calculated values
* size of the total moment: 0.00 μB/f.u.
* space-group type: No. 123
* D(E_F): 1.2164 states/eV/atom
* energy relative to the elements, uncorrected: -2.796 eV per formula unit


A plane-wave DFT calculation with PBE-GGA was carried out for a relaxed Cs2ThAuS4 crystal.

```
Cs2ThAuS4
1.0
7.903 0.000 0.000
0.000 7.903 0.000
0.000 0.000 8.838
Cs Th Au S
4 2 2 8
Cartesian
0.000 0.000 0.000 Cs
0.000 3.951 2.210 Cs
3.951 0.000 6.629 Cs
3.951 3.951 4.419 Cs
0.000 0.000 4.419 Th
3.951 3.951 0.000 Th
0.000 3.951 6.629 Au
3.951 0.000 2.210 Au
1.183 6.009 5.866 S
1.893 1.183 2.972 S
2.058 2.769 7.391 S
2.769 5.845 1.447 S
5.134 2.058 1.447 S
5.845 5.134 7.391 S
6.009 6.720 2.972 S
6.720 1.893 5.866 S
```

Calculated values
* size of the total moment: 0.00 μB/f.u.
* space-group type: No. 82
* D(E_F): 0.5523 states/eV/atom
* energy relative to the elements, uncorrected: -8.249 eV per formula unit


A plane-wave DFT calculation with PBE-GGA was carried out for a relaxed Cs2ThAu2S4 crystal.

```
Cs2ThAu2S4
1.0
9.014 -2.164 0.000
9.014 2.164 0.000
-3.176 0.000 7.253
Cs Th Au S
2 1 2 4
Cartesian
2.168 0.000 0.850 Cs
12.685 0.000 6.403 Cs
-1.588 0.000 3.627 Th
4.982 0.000 3.266 Au
9.870 0.000 3.988 Au
0.982 0.000 5.011 S
6.627 0.000 5.306 S
8.226 0.000 1.947 S
13.870 0.000 2.243 S
```

Calculated values
* size of the total moment: 0.00 μB/f.u.
* space-group type: No. 12
* D(E_F): 0.0000 states/eV/atom
* energy relative to the elements, uncorrected: -9.994 eV per formula unit


A plane-wave DFT calculation with PBE-GGA was carried out for a relaxed CsThAu2S4 crystal.

```
CsThAu2S4
1.0
6.497 0.000 0.000
0.000 8.268 0.000
0.000 0.000 9.309
Cs Th Au S
2 2 4 8
Cartesian
0.000 0.000 0.000 Cs
3.248 4.134 4.654 Cs
0.000 0.000 4.654 Th
3.248 4.134 0.000 Th
0.000 4.134 1.431 Au
0.000 4.134 7.878 Au
3.248 0.000 3.224 Au
3.248 0.000 6.085 Au
1.474 1.516 3.004 S
1.474 6.752 6.305 S
1.775 2.618 7.658 S
1.775 5.650 1.651 S
4.722 2.618 1.651 S
4.722 5.650 7.658 S
5.023 1.516 6.305 S
5.023 6.752 3.004 S
```

Calculated values
* size of the total moment: 0.00 μB/f.u.
* space-group type: No. 23
* D(E_F): 1.3071 states/eV/atom
* energy relative to the elements, uncorrected: -6.589 eV per formula unit


A plane-wave DFT calculation with PBE-GGA was carried out for a relaxed Cs2TiAuS4 crystal.

```
Cs2TiAuS4
1.0
0.000 7.093 12.720
2.969 0.000 12.720
2.969 7.093 0.000
Cs Ti Au S
4 2 2 8
Cartesian
2.227 5.320 1.335 Cs
3.712 8.866 7.695 Cs
2.227 5.320 17.745 Cs
3.712 8.866 24.105 Cs
0.742 1.773 3.180 Ti
5.196 12.412 22.260 Ti
2.227 5.320 9.540 Au
3.712 8.866 15.900 Au
2.057 3.089 4.494 S
3.881 6.635 10.854 S
2.397 7.551 4.494 S
2.397 3.089 14.586 S
3.542 11.097 10.854 S
3.542 6.635 20.946 S
2.057 7.551 14.586 S
3.881 11.097 20.946 S
```

Calculated values
* size of the total moment: 0.00 μB/f.u.
* space-group type: No. 70
* D(E_F): 0.8861 states/eV/atom
* energy relative to the elements, uncorrected: -8.090 eV per formula unit


A plane-wave DFT calculation with PBE-GGA was carried out for a relaxed CsTlAu2S crystal.

```
CsTlAu2S
1.0
6.103 0.000 0.000
0.000 6.103 0.000
0.000 0.000 5.794
Cs Tl Au S
1 1 2 1
Cartesian
0.000 0.000 0.000 Cs
3.051 3.051 2.897 Tl
0.000 3.051 0.000 Au
3.051 0.000 0.000 Au
0.000 0.000 2.897 S
```

Calculated values
* size of the total moment: 0.00 μB/f.u.
* space-group type: No. 123
* D(E_F): 0.8690 states/eV/atom
* energy relative to the elements, uncorrected: 4.126 eV per formula unit


A plane-wave DFT calculation with PBE-GGA was carried out for a relaxed CsTlAuS2 crystal.

```
CsTlAuS2
1.0
3.626 -7.090 0.000
3.626 7.090 0.000
0.000 0.000 6.325
Cs Tl Au S
2 2 2 4
Cartesian
3.626 3.545 4.806 Cs
3.626 -3.545 1.519 Cs
1.813 0.000 3.163 Tl
5.439 0.000 3.163 Tl
0.000 0.000 0.000 Au
3.626 0.000 0.000 Au
3.626 5.433 1.621 S
3.626 1.657 1.621 S
3.626 -1.657 4.704 S
3.626 -5.433 4.704 S
```

Calculated values
* size of the total moment: 0.00 μB/f.u.
* space-group type: No. 67
* D(E_F): 0.7206 states/eV/atom
* energy relative to the elements, uncorrected: -2.486 eV per formula unit


A plane-wave DFT calculation with PBE-GGA was carried out for a relaxed Cs2Tl2Au2S crystal.

```
Cs2Tl2Au2S
1.0
13.391 0.000 0.000
0.000 5.239 0.000
-6.046 0.000 7.124
Cs Tl Au S
4 4 4 2
Cartesian
-1.043 0.000 2.465 Cs
1.694 2.619 4.659 Cs
5.652 2.619 2.465 Cs
8.389 0.000 4.659 Cs
-2.033 2.619 6.126 Tl
2.683 0.000 0.998 Tl
4.662 0.000 6.126 Tl
9.379 2.619 0.998 Tl
1.337 2.619 0.403 Au
-0.687 0.000 6.721 Au
8.032 0.000 0.403 Au
6.009 2.619 6.721 Au
-3.023 2.619 3.562 S
3.673 0.000 3.562 S
```

Calculated values
* size of the total moment: 0.00 μB/f.u.
* space-group type: No. 12
* D(E_F): 0.3185 states/eV/atom
* energy relative to the elements, uncorrected: -2.868 eV per formula unit


A plane-wave DFT calculation with PBE-GGA was carried out for a relaxed CsTmAuS2 crystal.

```
CsTmAuS2
1.0
8.005 0.000 0.000
0.000 5.061 0.000
-1.240 0.000 7.506
Cs Tm Au S
2 2 2 4
Cartesian
-0.310 0.733 1.876 Cs
-0.930 4.328 5.629 Cs
3.072 2.504 5.629 Tm
3.692 2.556 1.876 Tm
4.003 0.000 0.000 Au
3.382 0.000 3.753 Au
1.055 1.835 7.234 S
1.675 3.226 3.481 S
5.089 1.835 4.025 S
5.710 3.226 0.272 S
```

Calculated values
* size of the total moment: 0.00 μB/f.u.
* space-group type: No. 13
* D(E_F): 0.5472 states/eV/atom
* energy relative to the elements, uncorrected: -5.790 eV per formula unit


A plane-wave DFT calculation with PBE-GGA was carried out for a relaxed Cs2UAuS5 crystal.

```
Cs2UAuS5
1.0
2.015 -10.447 0.000
2.015 10.447 0.000
0.000 0.000 14.224
Cs U Au S
4 2 2 10
Cartesian
2.015 7.899 7.112 Cs
2.015 7.844 1.762 Cs
2.015 -7.844 8.874 Cs
2.015 -7.899 0.000 Cs
2.015 6.175 11.605 U
2.015 -6.175 4.493 U
2.015 1.452 3.545 Au
2.015 -1.452 10.657 Au
2.015 8.711 12.041 S
2.015 4.321 6.159 S
2.015 4.276 2.797 S
2.015 3.749 11.571 S
2.015 0.230 1.595 S
2.015 -0.230 8.706 S
2.015 -3.749 4.459 S
2.015 -4.276 9.909 S
2.015 -4.321 13.271 S
2.015 -8.711 4.929 S
```

Calculated values
* size of the total moment: 0.00 μB/f.u.
* space-group type: No. 36
* D(E_F): 0.3504 states/eV/atom
* energy relative to the elements, uncorrected: -8.202 eV per formula unit